(1)
This record from Alexandria via LeMat-Bulk describes an optimized crystal structure of Ca3Zn2Cu9. The functional is GGA-PBE.

```
14
Lattice="4.2471 0.0000 0.0000 2.1235 7.6234 0.3646 2.1235 2.0831 7.3423" Properties=species:S:1:pos:R:3 pbc="T T T"
Cu 6.3706 7.2504 3.2545
Cu 2.1235 4.8933 1.3830
Cu 6.3706 7.1345 7.3844
Cu 6.3706 4.8133 6.3240
Cu 2.1235 4.8533 3.8535
Cu 6.3706 8.8094 5.2750
Cu 2.1236 2.5720 0.3226
Cu 2.1235 2.4562 4.4524
Cu 2.1236 0.8972 2.4320
Zn 4.2471 3.6746 5.3380
Zn 4.2471 6.0320 2.3690
Ca 0.0000 0.0000 0.0000
Ca 4.2471 6.7735 5.3782
Ca 4.2471 2.9330 2.3288
```

Computed properties:
Volume: 16.75 Å³ per atom
DFT total energy: -3.362 eV per atom
D(E_F): 5.02 states/eV/cell
Magnetization: 0.00 μB per cell
Energy of formation: -0.118 eV/atom



(2)
This record from Alexandria via LeMat-Bulk describes an optimized crystal structure of Ca2Zn7Cu. The functional is GGA-PBE.

```
10
Lattice="4.0742 0.0000 0.0000 0.0000 4.0742 0.0000 0.0000 0.0000 11.3721" Properties=species:S:1:pos:R:3 pbc="T T T"
Zn 0.0000 0.0000 5.6860
Zn 0.0000 0.0000 0.0000
Zn 2.0371 2.0371 5.6860
Zn 0.0000 2.0371 7.2945
Zn 2.0371 0.0000 1.5365
Zn 2.0371 0.0000 4.0776
Zn 0.0000 2.0371 9.8356
Cu 2.0371 2.0371 0.0000
Ca 0.0000 2.0371 2.8127
Ca 2.0371 0.0000 8.5594
```

Computed properties:
Volume: 18.88 Å³ per atom
DFT total energy: -1.907 eV per atom
D(E_F): 3.82 states/eV/cell
Magnetization: 0.00 μB per cell
Energy of formation: -0.205 eV/atom